Computed, not measured: a geometry-optimized CaIn2AgAs structure at the PBE-GGA level of DFT.

```
CaIn2AgAs
1.0
5.253 0.000 0.000
0.000 5.253 0.000
0.000 0.000 5.349
Ca In Ag As
1 2 1 1
Direct
0.000 0.000 0.000
0.000 0.500 0.500
0.500 0.000 0.500
0.500 0.500 0.500
0.500 0.500 0.000
```

Output
- ΔE_f: 0.08 eV/atom
- Density of states at the Fermi level: 2.90 states/eV/cell
- SG: P4/mmm

Computed, not measured: a geometry-optimized CaAgAs2Ir structure at the PBE-GGA level of DFT.

```
CaAgAs2Ir
1.0
4.858 0.000 0.000
0.000 4.858 0.000
0.000 0.000 5.203
Ca Ag As Ir
1 1 2 1
Direct
0.000 0.000 0.000
0.000 0.000 0.500
0.000 0.500 0.500
0.500 0.000 0.500
0.500 0.500 0.000
```

Output
- ΔE_f: 0.93 eV/atom
- Density of states at the Fermi level: 3.14 states/eV/cell
- SG: P4/mmm

Computed, not measured: a geometry-optimized LiCaAgAs2 structure at the PBE-GGA level of DFT.

```
LiCaAgAs2
1.0
5.322 0.000 0.000
0.000 5.322 0.000
0.000 0.000 5.197
Li Ca Ag As
1 1 1 2
Direct
0.000 0.000 0.000
0.000 0.000 0.500
0.500 0.500 0.000
0.000 0.500 0.500
0.500 0.000 0.500
```

Output
- ΔE_f: 0.58 eV/atom
- Density of states at the Fermi level: 1.76 states/eV/cell
- SG: P4/mmm

Computed, not measured: a geometry-optimized Li3Ca2AgAs4 structure at the PBE-GGA level of DFT.

```
Li3Ca2AgAs4
1.0
4.160 0.000 0.000
0.000 4.160 0.000
0.000 0.000 11.265
Li Ca Ag As
3 2 1 4
Direct
0.000 0.000 0.000
0.000 0.500 0.634
0.500 0.000 0.366
0.000 0.500 0.243
0.500 0.000 0.757
0.500 0.500 0.000
0.000 0.000 0.500
0.000 0.500 0.849
0.500 0.000 0.151
0.500 0.500 0.500
```

Output
- ΔE_f: -0.70 eV/atom
- Density of states at the Fermi level: 3.40 states/eV/cell
- SG: P-4m2

Computed, not measured: a geometry-optimized NaCaAgAs structure at the PBE-GGA level of DFT.

```
NaCaAgAs
1.0
7.154 0.000 0.000
0.000 7.154 0.000
0.000 0.000 7.154
Na Ca Ag As
4 4 4 4
Direct
0.000 0.000 0.000
0.000 0.500 0.500
0.500 0.000 0.500
0.500 0.500 0.000
0.000 0.000 0.500
0.000 0.500 0.000
0.500 0.000 0.000
0.500 0.500 0.500
0.250 0.250 0.750
0.250 0.750 0.250
0.750 0.250 0.250
0.750 0.750 0.750
0.250 0.250 0.250
0.250 0.750 0.750
0.750 0.250 0.750
0.750 0.750 0.250
```

Output
- ΔE_f: -0.45 eV/atom
- Density of states at the Fermi level: 6.50 states/eV/cell
- SG: F-43m

Computed, not measured: a geometry-optimized Ca2Ni3AgAs4 structure at the PBE-GGA level of DFT.

```
Ca2Ni3AgAs4
1.0
4.228 0.000 0.000
0.000 4.228 0.000
0.000 0.000 9.951
Ca Ni Ag As
2 3 1 4
Direct
0.000 0.500 0.243
0.500 0.000 0.757
0.000 0.500 0.885
0.500 0.000 0.115
0.500 0.500 0.500
0.000 0.000 0.500
0.000 0.000 0.000
0.000 0.500 0.650
0.500 0.000 0.350
0.500 0.500 0.000
```

Output
- ΔE_f: -0.59 eV/atom
- Density of states at the Fermi level: 4.72 states/eV/cell
- SG: P-4m2

Computed, not measured: a geometry-optimized CaNi2AgAs structure at the PBE-GGA level of DFT.

```
CaNi2AgAs
1.0
4.766 0.000 0.000
0.000 4.766 0.000
0.000 0.000 4.832
Ca Ni Ag As
1 2 1 1
Direct
0.000 0.000 0.000
0.000 0.500 0.500
0.500 0.000 0.500
0.500 0.500 0.500
0.500 0.500 0.000
```

Output
- ΔE_f: 0.53 eV/atom
- Density of states at the Fermi level: 6.72 states/eV/cell
- SG: P4/mmm

Computed, not measured: a geometry-optimized Ca2Ag2AsO6 structure at the PBE-GGA level of DFT.

```
Ca2Ag2AsO6
1.0
2.889 -5.035 0.000
2.889 5.035 0.000
-0.419 0.000 5.797
Ca Ag As O
2 2 1 6
Direct
0.164 0.836 0.000
0.836 0.164 0.000
0.358 0.642 0.500
0.642 0.358 0.500
0.500 0.500 0.000
0.212 0.488 0.820
0.251 0.251 0.180
0.488 0.212 0.820
0.512 0.788 0.180
0.749 0.749 0.820
0.788 0.512 0.180
```

Output
- Energy relative to the elements, uncorrected: -1.512 eV/atom
- Density of states at the Fermi level: 6.68 states/eV/cell
- SG: C2/m

Computed, not measured: a geometry-optimized Ca2Ag3AsO6 structure at the PBE-GGA level of DFT.

```
Ca2Ag3AsO6
1.0
2.891 -5.057 0.000
2.891 5.057 0.000
-1.999 0.000 6.195
Ca Ag As O
2 3 1 6
Direct
0.167 0.833 0.000
0.833 0.167 0.000
0.000 0.000 0.500
0.359 0.641 0.500
0.641 0.359 0.500
0.500 0.500 0.000
0.167 0.167 0.836
0.282 0.558 0.163
0.442 0.718 0.837
0.558 0.282 0.163
0.718 0.442 0.837
0.833 0.833 0.164
```

Output
- Energy relative to the elements, uncorrected: -1.468 eV/atom
- SG: C2/m

Computed, not measured: a geometry-optimized Ca2AgAsPb structure at the PBE-GGA level of DFT.

```
Ca2AgAsPb
1.0
5.572 0.000 0.000
0.000 5.572 0.000
0.000 0.000 4.977
Ca Ag As Pb
2 1 1 1
Direct
0.000 0.500 0.000
0.500 0.000 0.000
0.000 0.000 0.500
0.000 0.000 0.000
0.500 0.500 0.500
```

Output
- ΔE_f: -0.38 eV/atom
- Density of states at the Fermi level: 4.66 states/eV/cell
- SG: P4/mmm

Computed, not measured: a geometry-optimized Ca3AgAs2Pd9 structure at the PBE-GGA level of DFT.

```
Ca3AgAs2Pd9
1.0
7.605 0.000 0.000
-3.802 6.586 0.000
0.000 0.000 6.455
Ca Ag As Pd
3 1 2 9
Direct
0.000 0.000 0.000
0.333 0.667 0.667
0.667 0.333 0.333
0.000 0.000 0.500
0.333 0.667 0.143
0.667 0.333 0.857
0.000 0.500 0.000
0.180 0.360 0.339
0.180 0.820 0.339
0.360 0.180 0.661
0.500 0.000 0.000
0.500 0.500 0.000
0.640 0.820 0.339
0.820 0.180 0.661
0.820 0.640 0.661
```

Output
- ΔE_f: -0.32 eV/atom
- Density of states at the Fermi level: 9.44 states/eV/cell
- SG: P-3m1

Computed, not measured: a geometry-optimized CaPmAgAs structure at the PBE-GGA level of DFT.

```
CaPmAgAs
1.0
7.333 0.000 0.000
0.000 7.333 0.000
0.000 0.000 7.333
Ca Pm Ag As
4 4 4 4
Direct
0.000 0.000 0.000
0.000 0.500 0.500
0.500 0.000 0.500
0.500 0.500 0.000
0.000 0.000 0.500
0.000 0.500 0.000
0.500 0.000 0.000
0.500 0.500 0.500
0.250 0.250 0.750
0.250 0.750 0.250
0.750 0.250 0.250
0.750 0.750 0.750
0.250 0.250 0.250
0.250 0.750 0.750
0.750 0.250 0.750
0.750 0.750 0.250
```

Output
- ΔE_f: -0.64 eV/atom
- Density of states at the Fermi level: 12.70 states/eV/cell
- SG: F-43m